Record 1
DFT (PBE) results for a relaxed structure of MgTl.

a = 5.998 Å, b = 5.938 Å, c = 11.464 Å
α = 90.00°, β = 90.00°, γ = 90.00°
Fractional positions:
1 Mg 0.932 0.933 0.304
2 Mg 0.242 0.098 0.559
3 Mg 0.258 0.902 0.059
4 Mg 0.758 0.598 0.941
5 Mg 0.742 0.402 0.441
6 Mg 0.068 0.433 0.196
7 Mg 0.568 0.067 0.804
8 Mg 0.432 0.567 0.696
9 Tl 0.580 0.587 0.197
10 Tl 0.766 0.095 0.054
11 Tl 0.080 0.913 0.803
12 Tl 0.420 0.087 0.303
13 Tl 0.734 0.905 0.554
14 Tl 0.234 0.595 0.446
15 Tl 0.920 0.413 0.697
16 Tl 0.266 0.405 0.946

energy of formation = -1.1 kJ per mole of atoms
raw total energy = -1.99 eV per atom



Record 2
DFT (PBE) results for a relaxed structure of CsZnB2H8.

a = 5.174 Å, b = 5.174 Å, c = 7.070 Å
α = 68.53°, β = 68.53°, γ = 60.00°
Fractional positions:
1 H 0.807 0.807 0.578
2 H 0.540 0.149 0.161
3 H 0.149 0.149 0.161
4 H 0.149 0.540 0.161
5 H 0.851 0.851 0.839
6 H 0.460 0.851 0.839
7 H 0.193 0.193 0.422
8 H 0.851 0.460 0.839
9 B 0.256 0.256 0.231
10 B 0.744 0.744 0.769
11 Zn 0.000 0.000 0.000
12 Cs 0.500 0.500 0.500

raw total energy = -3.64 eV per atom



Record 3
DFT (PBE) results for a relaxed structure of HfNb6Ga8.

a = 6.841 Å, b = 6.841 Å, c = 6.841 Å
α = 68.70°, β = 68.70°, γ = 68.70°
Fractional positions:
1 Ga 0.580 0.940 0.157
2 Ga 0.420 0.060 0.843
3 Ga 0.276 0.276 0.276
4 Ga 0.724 0.724 0.724
5 Ga 0.157 0.580 0.940
6 Ga 0.060 0.843 0.420
7 Ga 0.940 0.157 0.580
8 Ga 0.843 0.420 0.060
9 Nb 0.154 0.396 0.642
10 Nb 0.396 0.642 0.154
11 Nb 0.604 0.358 0.846
12 Nb 0.846 0.604 0.358
13 Nb 0.358 0.846 0.604
14 Nb 0.642 0.154 0.396
15 Hf 0.000 0.000 0.000

energy of formation = -18.7 kJ per mole of atoms
raw total energy = -6.50 eV per atom



Record 4
DFT (PBE) results for a relaxed structure of In4SiTc.

a = 5.730 Å, b = 5.730 Å, c = 5.730 Å
α = 60.00°, β = 60.00°, γ = 60.00°
Each line ends with the local moment (μB).
Fractional positions:
1 In 0.375 0.375 0.876  0.00
2 In 0.375 0.375 0.375  0.00
3 In 0.375 0.876 0.375  0.00
4 In 0.876 0.375 0.375  0.00
5 Si 0.750 0.750 0.750  0.01
6 Tc 0.000 0.000 0.000  0.87

uncorrected formation energy = 0.852 eV/atom
raw total energy = -3.61 eV per atom



Record 5
DFT (PBE) results for a relaxed structure of TmNbPb2O6.

a = 5.880 Å, b = 5.918 Å, c = 8.339 Å
α = 90.00°, β = 90.07°, γ = 90.00°
Fractional positions:
1 O 0.225 0.201 0.461
2 O 0.697 0.277 0.539
3 O 0.924 0.516 0.237
4 O 0.775 0.799 0.539
5 O 0.576 0.016 0.263
6 O 0.424 0.984 0.737
7 O 0.197 0.223 0.039
8 O 0.303 0.723 0.461
9 O 0.803 0.777 0.961
10 O 0.725 0.299 0.961
11 O 0.076 0.484 0.763
12 O 0.275 0.701 0.039
13 Pb 0.006 0.975 0.249
14 Pb 0.494 0.475 0.251
15 Pb 0.994 0.025 0.751
16 Pb 0.506 0.525 0.749
17 Nb 0.000 0.500 0.000
18 Nb 0.500 0.000 0.500
19 Tm 0.500 0.000 0.000
20 Tm 0.000 0.500 0.500

uncorrected formation energy = -2.283 eV/atom
raw total energy = -7.45 eV per atom



Record 6
DFT (PBE) results for a relaxed structure of Hf2CoSn.

a = 3.062 Å, b = 3.062 Å, c = 8.055 Å
α = 90.00°, β = 90.00°, γ = 90.00°
Each line ends with the local moment (μB).
Fractional positions:
1 Hf 0.000 0.000 0.205  0.09
2 Hf 0.000 0.000 0.795  0.09
3 Co 0.500 0.500 0.000  0.81
4 Sn 0.500 0.500 0.500  -0.01

energy of formation = -25.5 kJ per mole of atoms
raw total energy = -8.02 eV per atom



Record 7
DFT (PBE) results for a relaxed structure of LiLuTiPt.

a = 4.664 Å, b = 4.664 Å, c = 4.664 Å
α = 60.00°, β = 60.00°, γ = 60.00°
Each line ends with the local moment (μB).
Fractional positions:
1 Lu 0.250 0.250 0.250  0.03
2 Li 0.000 0.000 0.000  0.00
3 Ti 0.750 0.750 0.750  0.42
4 Pt 0.500 0.500 0.500  -0.02

energy of formation = -48.7 kJ per mole of atoms
raw total energy = -5.60 eV per atom



Record 8
DFT (PBE) results for a relaxed structure of BaTa2.

a = 3.378 Å, b = 3.378 Å, c = 7.825 Å
α = 90.00°, β = 90.00°, γ = 120.00°
Fractional positions:
1 Ba 0.000 0.000 0.000
2 Ta 0.667 0.333 0.617
3 Ta 0.333 0.667 0.383

energy of formation = 95.7 kJ per mole of atoms
raw total energy = -7.55 eV per atom



Record 9
DFT (PBE) results for a relaxed structure of La7In2Ag2.

a = 7.243 Å, b = 7.381 Å, c = 7.243 Å
α = 90.00°, β = 106.54°, γ = 90.00°
Fractional positions:
1 La 0.500 0.287 0.000
2 La 0.000 0.287 0.500
3 La 0.000 0.713 0.500
4 La 0.500 0.282 0.500
5 La 0.500 0.713 0.000
6 La 0.000 0.000 0.000
7 La 0.500 0.718 0.500
8 Ag 0.289 0.000 0.711
9 Ag 0.711 0.000 0.289
10 In 0.838 0.500 0.838
11 In 0.162 0.500 0.162

energy of formation = -8.8 kJ per mole of atoms
raw total energy = -4.24 eV per atom



Record 10
DFT (PBE) results for a relaxed structure of Tb3Ga3Cu.

a = 4.360 Å, b = 5.750 Å, c = 13.576 Å
α = 85.50°, β = 80.76°, γ = 67.72°
Fractional positions:
1 Tb 0.746 0.736 0.771
2 Tb 0.398 0.281 0.922
3 Tb 0.602 0.719 0.078
4 Tb 0.457 0.702 0.385
5 Tb 0.543 0.298 0.615
6 Tb 0.254 0.264 0.229
7 Cu 0.250 0.893 0.606
8 Cu 0.750 0.107 0.394
9 Ga 0.962 0.842 0.234
10 Ga 0.112 0.852 0.924
11 Ga 0.888 0.148 0.076
12 Ga 0.866 0.725 0.544
13 Ga 0.134 0.275 0.456
14 Ga 0.038 0.158 0.766

energy of formation = -55.2 kJ per mole of atoms
raw total energy = -4.44 eV per atom



Record 11
DFT (PBE) results for a relaxed structure of AgSn2Pt.

a = 4.886 Å, b = 4.886 Å, c = 4.886 Å
α = 60.00°, β = 60.00°, γ = 60.00°
Fractional positions:
1 Sn 0.250 0.250 0.250
2 Sn 0.750 0.750 0.750
3 Pt 0.500 0.500 0.500
4 Ag 0.000 0.000 0.000

energy of formation = -6.8 kJ per mole of atoms
raw total energy = -4.29 eV per atom



Record 12
DFT (PBE) results for a relaxed structure of SrAs5.

a = 5.570 Å, b = 5.570 Å, c = 8.577 Å
α = 75.34°, β = 75.34°, γ = 38.62°
Fractional positions:
1 As 0.671 0.671 0.614
2 As 0.987 0.987 0.041
3 As 0.536 0.536 0.209
4 As 0.989 0.989 0.604
5 As 0.354 0.354 0.482
6 Sr 0.298 0.298 0.883

energy of formation = -16.9 kJ per mole of atoms
raw total energy = -4.33 eV per atom



Please write out number 9 again, unchanged.
DFT (PBE) results for a relaxed structure of La7In2Ag2.

a = 7.243 Å, b = 7.381 Å, c = 7.243 Å
α = 90.00°, β = 106.54°, γ = 90.00°
Fractional positions:
1 La 0.500 0.287 0.000
2 La 0.000 0.287 0.500
3 La 0.000 0.713 0.500
4 La 0.500 0.282 0.500
5 La 0.500 0.713 0.000
6 La 0.000 0.000 0.000
7 La 0.500 0.718 0.500
8 Ag 0.289 0.000 0.711
9 Ag 0.711 0.000 0.289
10 In 0.838 0.500 0.838
11 In 0.162 0.500 0.162

energy of formation = -8.8 kJ per mole of atoms
raw total energy = -4.24 eV per atom